The following is a DFT calculation (GGA-PBEsol) of crystalline CaCr2Ir at its relaxed geometry.

Output
For the energy of formation from the pure elements, the calculation gives 0.765 eV/atom. Its total energy is -7.345 eV per atom. The value obtained for the density of states at the Fermi level is 4.61 states/eV/cell. The energy above the most stable polymorph in this dataset comes out at 0.325 eV per atom. For the size of the total moment, the calculation gives 0.001 μB/atom.

abc: 5.0564 5.0564 2.6348
angles: 90.00 90.00 119.67
With the nearest neighbours (Å) after each atom.
Atoms (fractional coordinates):
Ca 0.0000 0.0000 0.0000  2 Ir 2.54, 2 Ca 2.63
Cr 0.0000 0.5000 0.5000  4 Cr 2.54-2.63
Cr 0.5000 0.0000 0.5000  4 Cr 2.54-2.63
Ir 0.5000 0.5000 0.0000  2 Ca 2.54, 2 Ir 2.63